GdHoAl4: relaxed, PBE.

```
data_GdHoAl4
_chemical_formula_sum 'Gd4 Ho4 Al16'
_space_group_name_H-M_alt 'F -4 3 m'
_space_group_IT_number 216
_space_group_name_Hall 'F -4 2 3'
_cell_length_a 7.872
_cell_length_b 7.872
_cell_length_c 7.872
_cell_angle_alpha 90.00
_cell_angle_beta 90.00
_cell_angle_gamma 90.00
loop_
_atom_site_label
_atom_site_type_symbol
_atom_site_fract_x
_atom_site_fract_y
_atom_site_fract_z
Gd1 Gd 0.000 0.000 0.000
Ho1 Ho 0.250 0.250 0.750
Al1 Al 0.125 0.125 0.375
```

Mass density (Mg/m³): 5.9
ΔH_f (0 K) (eV per atom): -0.52
Fermi-level density of states (states/eV/f.u.): 3.677

***

TcAsPt2: relaxed, PBE.

```
data_TcAsPt2
_chemical_formula_sum 'Tc2 As2 Pt4'
_space_group_name_H-M_alt 'I -4 m 2'
_space_group_IT_number 119
_space_group_name_Hall 'I -4 -2'
_cell_length_a 4.220
_cell_length_b 4.220
_cell_length_c 7.005
_cell_angle_alpha 90.00
_cell_angle_beta 90.00
_cell_angle_gamma 90.00
loop_
_atom_site_label
_atom_site_type_symbol
_atom_site_fract_x
_atom_site_fract_y
_atom_site_fract_z
Tc1 Tc 0.000 0.000 0.000
As1 As 0.000 0.500 0.750
Pt1 Pt 0.000 0.000 0.500
Pt2 Pt 0.000 0.500 0.250
```

Mass density (Mg/m³): 15.0
ΔH_f (0 K) (eV per atom): 0.09
Fermi-level density of states (states/eV/f.u.): 5.501

***

Si3N4: relaxed, PBE.

```
data_Si3N4
_chemical_formula_sum 'Si12 N16'
_space_group_name_H-M_alt 'P n m a'
_space_group_IT_number 62
_cell_length_a 9.525
_cell_length_b 5.577
_cell_length_c 4.575
_cell_angle_alpha 90.00
_cell_angle_beta 90.00
_cell_angle_gamma 90.00
loop_
_space_group_symop_operation_xyz
'x,y,z'
'-x,-y,-z'
'-x+1/2,-y,z+1/2'
'x+1/2,y,-z+1/2'
'x+1/2,-y+1/2,-z+1/2'
'-x+1/2,y+1/2,z+1/2'
'-x,y+1/2,-z'
'x,-y+1/2,z'
loop_
_atom_site_label
_atom_site_type_symbol
_atom_site_fract_x
_atom_site_fract_y
_atom_site_fract_z
Si1 Si 0.000 0.000 0.000
Si2 Si 0.093 0.250 0.439
Si3 Si 0.226 0.750 0.490
N1 N 0.071 0.750 0.743
N2 N 0.092 0.250 0.812
N3 N 0.163 0.005 0.257
```

E above lowest polymorph (meV per atom): 287
Mass density (Mg/m³): 3.8
Raw formation energy (eV/atom): -0.813
Fermi-level density of states (states/eV/f.u.): 0.000

***

Ac2Nd2Ge3: relaxed, PBE.

```
data_Ac2Nd2Ge3
_chemical_formula_sum 'Ac4 Nd4 Ge6'
_space_group_name_H-M_alt 'C 1 2/m 1'
_space_group_IT_number 12
_cell_length_a 14.342
_cell_length_b 4.323
_cell_length_c 7.968
_cell_angle_alpha 90.00
_cell_angle_beta 99.48
_cell_angle_gamma 90.00
loop_
_space_group_symop_operation_xyz
'x,y,z'
'-x,-y,-z'
'-x,y,-z'
'x,-y,z'
'x+1/2,y+1/2,z'
'-x+1/2,-y+1/2,-z'
'-x+1/2,y+1/2,-z'
'x+1/2,-y+1/2,z'
loop_
_atom_site_label
_atom_site_type_symbol
_atom_site_fract_x
_atom_site_fract_y
_atom_site_fract_z
Ac1 Ac 0.129 0.000 0.366
Nd1 Nd 0.131 0.500 0.902
Ge1 Ge 0.000 0.000 0.000
Ge2 Ge 0.238 0.000 0.749
```

Mass density (Mg/m³): 6.5
ΔH_f (0 K) (eV per atom): -0.57
Fermi-level density of states (states/eV/f.u.): 4.620